Entry from Alexandria via LeMat-Bulk: Ac5ZnSn6 after structural relaxation (PBE-GGA).

Unit cell a=10.8813 b=15.8538 c=5.1242 alpha=90.00 beta=118.06 gamma=90.00
Last column: nearest neighbours and their distance in Å.
Space group C2/m (No. 12)
Unique sites:
1 Ac 0.0000 0.0000 0.0000 x2  8 Sn 3.42-3.57, 4 Ac 3.76
2 Ac 0.0000 0.1740 0.5000 x4  8 Sn 3.48-3.58, 2 Ac 3.76
3 Ac 0.0000 0.3615 0.0000 x4  6 Sn 3.35-3.56, 2 Zn 3.37
4 Zn 0.0000 0.5000 0.5000 x2  4 Ac 3.37, 8 Sn 3.59-3.61
5 Sn 0.2368 0.0000 0.7356 x4  6 Ac 3.35-3.58, 2 Zn 3.59-3.60, 4 Sn 3.70-3.71
6 Sn 0.2470 0.1687 0.2468 x8  7 Ac 3.48-3.87, 1 Zn 3.61, 4 Sn 3.63-3.71

Output
E_tot ... -4.3440 eV per atom
Formation energy from the elements ... -525 meV per atom

Entry from Alexandria via LeMat-Bulk: LiMgW after structural relaxation (PBE-GGA).

Unit cell a=3.1484 b=4.4246 c=14.7045 alpha=90.00 beta=90.00 gamma=90.00
Last column: nearest neighbours and their distance in Å.
Space group Fmm2 (No. 42)
Unique sites:
1 Li 0.0000 0.0000 0.0000 x4  4 Li 2.72, 2 W 2.83, 2 Mg 3.01
2 Mg 0.0000 0.0000 0.6745 x4  4 Mg 2.72, 2 W 2.90, 2 Li 3.01
3 W 0.0000 0.0000 0.3398 x4  4 W 2.72, 2 Li 2.83, 2 Mg 2.90

Output
E_tot ... -5.1187 eV per atom
Formation energy from the elements ... 368 meV per atom
E above lowest polymorph ... 0 meV per atom

Entry from Alexandria via LeMat-Bulk: SrIr2W after structural relaxation (PBE-GGA).

Unit cell a=2.8711 b=2.8711 c=30.1829 alpha=90.00 beta=90.00 gamma=120.00
Last column: nearest neighbours and their distance in Å.
Space group R3m (No. 160, hexagonal axes)
Unique sites:
1 Sr 0.0000 0.0000 0.0000 x3  6 Sr 2.87, 3 Ir 3.08
2 Ir 0.0000 0.0000 0.2473 x3  9 Ir 2.83-2.87, 3 Sr 3.08
3 Ir 0.0000 0.0000 0.5047 x3  3 W 2.68, 9 Ir 2.83-2.87
4 W 0.0000 0.0000 0.7684 x3  3 Ir 2.68, 6 W 2.87

Output
E_tot ... -7.4096 eV per atom
Formation energy from the elements ... 680 meV per atom
E above lowest polymorph ... 651 meV per atom

Entry from Alexandria via LeMat-Bulk: CrCoAg2 after structural relaxation (PBE-GGA).

Unit cell a=2.6454 b=2.6454 c=8.3648 alpha=90.00 beta=90.00 gamma=90.00
Last column: nearest neighbours and their distance in Å.
Space group P4/mmm (No. 123)
Unique sites:
1 Cr 0.0000 0.0000 0.0000 x1  4 Cr 2.65, 8 Ag 2.83
2 Co 0.0000 0.0000 0.5000 x1  4 Co 2.65, 8 Ag 2.78
3 Ag 0.5000 0.5000 0.2541 x2  4 Ag 2.65, 4 Co 2.78, 4 Cr 2.83

Output
E_tot ... -4.9708 eV per atom
Formation energy from the elements ... 637 meV per atom
E above lowest polymorph ... 316 meV per atom

Entry from Alexandria via LeMat-Bulk: Pr3CoPd after structural relaxation (PBE-GGA).

Unit cell a=8.4335 b=3.9563 c=8.4494 alpha=90.00 beta=110.26 gamma=90.00
Last column: nearest neighbours and their distance in Å.
Space group P2_1/m (No. 11)
Unique sites:
1 Pr 0.0432 0.2500 0.1806 x2  2 Pd 2.99, 1 Co 3.34
2 Pr 0.2262 0.7500 0.5626 x2  3 Co 2.82-3.08, 2 Pd 3.11
3 Pr 0.4027 0.7500 0.1496 x2  3 Pd 3.08-3.15, 3 Co 3.11-3.21
4 Co 0.4425 0.2500 0.4453 x2  2 Co 2.26
5 Pd 0.2317 0.2500 0.8492 x2  7 Pr 2.99-3.15

Output
E_tot ... -5.6426 eV per atom
Formation energy from the elements ... -315 meV per atom
E above lowest polymorph ... 0 meV per atom

Entry from Alexandria via LeMat-Bulk: LiTa2In after structural relaxation (PBE-GGA).

Unit cell a=5.3483 b=10.1138 c=2.9241 alpha=90.00 beta=111.60 gamma=90.00
Last column: nearest neighbours and their distance in Å.
Space group C2/m (No. 12)
Unique sites:
1 Li 0.0000 0.0000 0.0000 x2  2 In 2.67, 2 Li 2.92, 4 Ta 2.98
2 Ta 0.2500 0.2500 0.5000 x4  4 Ta 2.67-2.92, 2 Li 2.98, 2 In 2.98
3 In 0.0000 0.5000 0.0000 x2  2 Li 2.67, 2 In 2.92, 4 Ta 2.98

Output
E_tot ... -6.8458 eV per atom
Formation energy from the elements ... 244 meV per atom